14
Lattice="3.803 0.000 0.000 -1.901 6.316 0.000 0.000 0.000 13.593" Properties=species:S:1:pos:R:3 comment="Th4AgC2 | Alexandria | GGA-PBE | optimized geometry" n_ef_per_ev_cell=13.96 formation_energy_ev_per_atom=-0.1943 m_tot_mub_per_fu=0.00 pbc="T T T"
Th 1.901 3.397 1.428
Th 1.901 3.397 5.368
Th 0.000 2.919 12.164
Th 0.000 2.919 8.225
Th 1.901 5.289 10.195
Th 0.000 1.027 3.398
Th 1.901 0.000 0.000
Th 1.901 0.000 6.796
Ag 1.901 1.356 10.195
Ag 0.000 4.960 3.398
C 0.000 1.741 5.947
C 1.901 4.575 12.744
C 0.000 1.741 0.849
C 1.901 4.575 7.646

8
Lattice="-1.009 -2.796 -2.255 3.977 2.210 -4.520 4.386 -5.254 4.553" Properties=species:S:1:pos:R:3 comment="Th2AgC | Alexandria | GGA-PBE | optimized geometry" n_ef_per_ev_cell=7.08 formation_energy_ev_per_atom=-0.1723 m_tot_mub_per_fu=0.00 polymorph_energy_mev_per_atom=14 pbc="T T T"
Th 3.335 -4.913 3.057
Th 4.019 -0.926 -5.280
Th 2.405 -0.551 -1.936
Th 4.949 -5.289 -0.286
Ag 4.159 -3.173 -2.555
Ag 3.195 -2.666 0.333
C 4.531 -6.798 1.772
C 2.822 0.958 -3.994

12
Lattice="-3.836 -0.509 3.351 2.819 -6.381 2.259 2.239 3.468 7.003" Properties=species:S:1:pos:R:3 comment="Th3Ag2C | Alexandria | GGA-PBE | optimized geometry" n_ef_per_ev_cell=10.73 formation_energy_ev_per_atom=-0.1991 m_tot_mub_per_fu=0.00 pbc="T T T"
Th -1.214 -1.849 2.240
Th 2.435 -1.572 10.372
Th 1.261 2.595 5.757
Th -1.449 -2.826 5.726
Th 2.671 -0.595 6.886
Th -0.040 -6.016 6.855
Ag 0.753 -3.078 8.217
Ag -0.658 0.112 7.089
Ag 1.880 -3.534 5.523
Ag 0.469 -0.343 4.396
C 0.518 -1.826 12.047
C 0.704 -1.595 0.565

20
Lattice="-2.756 1.157 2.058 -3.380 -10.842 1.567 7.303 1.677 8.836" Properties=species:S:1:pos:R:3 comment="Th6AgC3 | Alexandria | GGA-PBE | optimized geometry" n_ef_per_ev_cell=17.73 formation_energy_ev_per_atom=-0.1479 m_tot_mub_per_fu=0.00 pbc="T T T"
Th 0.812 -3.846 8.047
Th 0.355 -4.162 4.414
Th -4.460 -8.965 3.865
Th 5.627 0.956 8.596
Th -2.960 -3.148 2.604
Th 4.128 -4.860 9.857
Th -2.624 -6.140 4.736
Th 3.791 -1.869 7.725
Th 0.711 -0.796 6.197
Th 0.456 -7.212 6.264
Th 0.941 -6.714 9.832
Th 0.226 -1.294 2.629
Ag 2.532 1.536 7.325
Ag -1.365 -9.545 5.136
C 2.648 -2.698 9.860
C -1.481 -5.311 2.601
C -0.957 -5.125 6.398
C 2.124 -2.883 6.063
C -2.094 -0.475 2.262
C 3.261 -7.533 10.199

4
Lattice="3.705 -0.008 -0.005 -1.859 3.224 0.001 -1.849 -1.081 7.909" Properties=species:S:1:pos:R:3 comment="Th2AgC | Alexandria | GGA-PBE | optimized geometry" n_ef_per_ev_cell=3.98 formation_energy_ev_per_atom=-0.1663 m_tot_mub_per_fu=0.00 polymorph_energy_mev_per_atom=20 pbc="T T T"
Th 0.002 -0.011 6.459
Th -0.004 2.146 1.446
Ag -1.854 1.072 3.955
C -0.002 2.135 7.904

7
Lattice="5.089 0.000 0.000 0.000 5.089 0.000 -2.544 -2.544 7.414" Properties=species:S:1:pos:R:3 comment="Th4Ag2C | Alexandria | GGA-PBE | optimized geometry" n_ef_per_ev_cell=6.31 formation_energy_ev_per_atom=-0.0346 m_tot_mub_per_fu=0.00 pbc="T T T"
C 0.000 0.000 0.000
Ag 2.544 2.544 1.941
Ag 0.000 0.000 5.473
Th 2.544 2.544 4.902
Th 0.000 0.000 2.512
Th 0.000 2.544 0.000
Th 2.544 0.000 0.000